The following is a DFT calculation (PBE) of Zr2NbCd after structural relaxation.

a = 6.922 Å, b = 6.922 Å, c = 6.922 Å
α = 90.00°, β = 90.00°, γ = 90.00°
Space group F-43m (No. 216)
Asymmetric unit:
Zr (0.000, 0.000, 0.000) [4 per cell]
Zr (0.250, 0.250, 0.250) [4 per cell]
Nb (0.000, 0.000, 0.500) [4 per cell]
Cd (0.250, 0.250, 0.750) [4 per cell]



The following is a DFT calculation (PBE) of ZrNbCd after structural relaxation.

a = 6.554 Å, b = 6.554 Å, c = 6.554 Å
α = 90.00°, β = 90.00°, γ = 90.00°
Space group F-43m (No. 216)
Asymmetric unit:
Zr (0.000, 0.000, 0.000) [4 per cell]
Nb (0.000, 0.000, 0.500) [4 per cell]
Cd (0.250, 0.250, 0.750) [4 per cell]



The following is a DFT calculation (PBE) of NdCd11 after structural relaxation.

a = 9.335 Å, b = 9.335 Å, c = 9.335 Å
α = 90.00°, β = 90.00°, γ = 90.00°
Space group Pm-3m (No. 221)
Asymmetric unit:
Nd (0.000, 0.000, 0.500) [3 per cell]
Cd (0.000, 0.345, 0.345) [12 per cell]
Cd (0.157, 0.157, 0.157) [8 per cell]
Cd (0.266, 0.266, 0.500) [12 per cell]
Cd (0.500, 0.500, 0.500) [1 per cell]



The following is a DFT calculation (PBE) of NdCdNi4 after structural relaxation.

a = 7.123 Å, b = 7.123 Å, c = 7.123 Å
α = 90.00°, β = 90.00°, γ = 90.00°
Space group F-43m (No. 216)
Asymmetric unit:
Nd (0.000, 0.000, 0.000) [4 per cell]
Cd (0.250, 0.250, 0.250) [4 per cell]
Ni (0.124, 0.124, 0.624) [16 per cell]



The following is a DFT calculation (PBE) of NdCd20Ni2 after structural relaxation.

a = 15.607 Å, b = 15.607 Å, c = 15.607 Å
α = 90.00°, β = 90.00°, γ = 90.00°
Space group Fd-3m (No. 227, origin choice 2)
Asymmetric unit:
Nd (0.125, 0.125, 0.125) [8 per cell]
Cd (0.000, 0.000, 0.000) [16 per cell]
Cd (0.012, 0.375, 0.875) [48 per cell]
Cd (0.060, 0.060, 0.324) [96 per cell]
Ni (0.000, 0.000, 0.500) [16 per cell]



The following is a DFT calculation (PBE) of Nd2Cd4NiPd after structural relaxation.

a = 8.320 Å, b = 4.236 Å, c = 9.995 Å
α = 90.00°, β = 90.00°, γ = 90.00°
Space group Amm2 (No. 38)
Asymmetric unit:
Nd (0.000, 0.000, 0.000) [2 per cell]
Nd (0.500, 0.000, 0.129) [2 per cell]
Cd (0.193, 0.000, 0.709) [4 per cell]
Cd (0.292, 0.000, 0.419) [4 per cell]
Ni (0.000, 0.000, 0.287) [2 per cell]
Pd (0.500, 0.000, 0.841) [2 per cell]



The following is a DFT calculation (PBE) of PrNdCd4Ni2 after structural relaxation.

a = 8.189 Å, b = 4.222 Å, c = 9.906 Å
α = 90.00°, β = 90.00°, γ = 90.00°
Space group Amm2 (No. 38)
Asymmetric unit:
Pr (0.000, 0.000, 0.000) [2 per cell]
Nd (0.500, 0.000, 0.878) [2 per cell]
Cd (0.199, 0.000, 0.291) [4 per cell]
Cd (0.302, 0.000, 0.587) [4 per cell]
Ni (0.000, 0.000, 0.715) [2 per cell]
Ni (0.500, 0.000, 0.163) [2 per cell]



The following is a DFT calculation (PBE) of NdNpCd after structural relaxation.

a = 6.963 Å, b = 6.963 Å, c = 6.963 Å
α = 90.00°, β = 90.00°, γ = 90.00°
Space group F-43m (No. 216)
Asymmetric unit:
Nd (0.000, 0.000, 0.000) [4 per cell]
Np (0.250, 0.250, 0.750) [4 per cell]
Cd (0.250, 0.250, 0.250) [4 per cell]



no.,raw total energy (Ha/atom)
1,-0.25178
2,-0.21124
3,-0.05049
4,-0.18188
5,-0.05797
6,-0.12594
7,-0.12351
8,-0.19294